VASP calculation (GGA-PBE) on a relaxed BaEuIr crystal.

Output
relative energy among the computed polymorphs: 0 meV per atom
E: -7.16 eV/atom
calculated formation energy: -0.414 eV/f.u.
magnetic moment: 2.4238 μB/atom

Cell lengths 5.158, 5.158, 5.158 Å; angles 60.00, 60.00, 60.00 degrees
Positions (direct):
Eu1 0.500 0.500 0.500
Ir1 0.250 0.250 0.250
Ba1 0.000 0.000 0.000